# 1
Material: SbTe5
Method: DFT, PBE
State: optimized geometry

The structure in POSCAR format:
```
SbTe5
1.0
-1.539 2.546 -3.394
-4.191 -4.003 -1.102
-5.035 2.975 4.514
Sb Te
1 5
direct
0.500 0.000 0.500
0.000 0.000 0.000
0.000 0.310 0.323
0.500 0.689 0.182
0.500 0.311 0.818
0.000 0.690 0.677
```

Values from the calculation:
crystal system: monoclinic
space group: P2/m, No. 10
V: 195.79 Å³/cell
relative energy among the computed polymorphs: 0.000 eV per atom
E_form (uncorrected): 0.2 kcal/mol of atoms
VASP energy: -3.2974 eV per atom

***

# 2
Material: SbTe2
Method: DFT, PBE
State: optimized geometry

The structure in POSCAR format:
```
SbTe2
1.0
-17.847 12.381 -11.536
-21.315 9.268 -8.040
19.732 -8.728 11.805
Sb Te
4 8
direct
0.065 0.065 0.000
0.935 0.935 0.000
0.315 0.815 0.500
0.185 0.685 0.500
0.260 0.260 0.000
0.740 0.740 0.000
0.510 0.010 0.500
0.990 0.490 0.500
0.414 0.414 0.000
0.586 0.586 0.000
0.664 0.164 0.500
0.836 0.336 0.500
```

Values from the calculation:
crystal system: tetragonal
space group: I4_1/amd, No. 141
V: 414.47 Å³/cell
relative energy among the computed polymorphs: 0.147 eV per atom
E_form (uncorrected): 2.5 kcal/mol of atoms
VASP energy: -3.3617 eV per atom

***

# 3
Material: Sb3Te
Method: DFT, PBE
State: optimized geometry

The structure in POSCAR format:
```
Sb3Te
1.0
6.369 -0.033 0.000
3.200 5.507 0.000
-4.785 -2.737 3.191
Sb Te
3 1
direct
0.250 0.750 0.500
0.500 0.500 0.000
0.750 0.250 0.500
0.000 0.000 0.000
```

Values from the calculation:
crystal system: tetragonal
space group: I4/mmm, No. 139
V: 112.29 Å³/cell
relative energy among the computed polymorphs: 0.292 eV per atom
E_form (uncorrected): 7.1 kcal/mol of atoms
VASP energy: -3.5711 eV per atom

***

Question: The highest VASP energy belongs to which entry?
Answer: SbTe5